# 1
The following is a DFT calculation (meta-GGA SCAN) of a PBEsol-optimized structure of FeRu2AuN.

Values from the calculation:
E = -32.666 eV per atom
ΔE_f (raw) = 0.580 eV per atom
Crystal system = tetragonal

a b c (Å): 3.918 3.918 4.337
angles (deg): 90.00 90.00 90.00
Element x y z (fractional)
1 Ru 0.000 0.500 0.000
2 Fe 0.500 0.500 0.500
3 N 0.000 0.000 0.000
4 Ru 0.500 0.000 0.000
5 Au 0.000 0.000 0.500

=====

# 2
The following is a DFT calculation (meta-GGA SCAN) of a PBEsol-optimized structure of NaFeAu3.

Values from the calculation:
E = -44.778 eV per atom
E_form = 1185 meV per atom
Crystal system = cubic

a b c (Å): 4.714 4.714 4.714
angles (deg): 90.00 90.00 90.00
Element x y z (fractional)
1 Au 0.500 0.000 0.000
2 Na 0.000 0.000 0.000
3 Fe 0.500 0.500 0.500
4 Au 0.000 0.500 0.000
5 Au 0.000 0.000 0.500

=====

# 3
The following is a DFT calculation (meta-GGA SCAN) of a PBEsol-optimized structure of SrNbFe2Au.

Values from the calculation:
E = -30.079 eV per atom
E_form = 2086 meV per atom
Crystal system = tetragonal

a b c (Å): 4.524 4.524 5.191
angles (deg): 90.00 90.00 90.00
Element x y z (fractional)
1 Fe 0.500 0.000 0.000
2 Au 0.000 0.000 0.500
3 Nb 0.500 0.500 0.500
4 Fe 0.000 0.500 0.000
5 Sr 0.000 0.000 0.000

=====

# 4
The following is a DFT calculation (meta-GGA SCAN) of a PBEsol-optimized structure of FeNi6Au.

Values from the calculation:
E = -23.072 eV per atom
E_form = -32 meV per atom
Crystal system = orthorhombic

a b c (Å): 6.165 6.165 10.118
angles (deg): 90.00 90.00 109.67
Element x y z (fractional)
1 Ni 0.255 0.745 0.241
2 Ni 0.745 0.255 0.241
3 Ni 0.255 0.745 0.759
4 Ni 0.871 0.616 0.120
5 Ni 0.618 0.864 0.369
6 Fe 0.250 0.750 0.000
7 Ni 0.616 0.871 0.120
8 Ni 0.136 0.382 0.631
9 Au 0.247 0.753 0.500
10 Ni 0.129 0.384 0.880
11 Ni 0.136 0.382 0.369
12 Fe 0.500 0.500 0.753
13 Ni 0.618 0.864 0.631
14 Ni 0.000 0.000 0.500
15 Ni 0.500 0.500 0.000
16 Ni 0.864 0.618 0.631
17 Ni 0.616 0.871 0.880
18 Ni 0.384 0.129 0.880
19 Au 0.000 0.000 0.752
20 Ni 0.382 0.136 0.369
21 Fe 0.500 0.500 0.247
22 Ni 0.000 0.000 0.000
23 Ni 0.745 0.255 0.759
24 Ni 0.129 0.384 0.120
25 Ni 0.864 0.618 0.369
26 Ni 0.382 0.136 0.631
27 Fe 0.750 0.250 0.000
28 Ni 0.500 0.500 0.500
29 Ni 0.871 0.616 0.880
30 Au 0.000 0.000 0.248
31 Au 0.753 0.247 0.500
32 Ni 0.384 0.129 0.120

=====

# 5
The following is a DFT calculation (meta-GGA SCAN) of a PBEsol-optimized structure of FeNi2Au.

Values from the calculation:
E = -29.981 eV per atom
E_form = -72 meV per atom
Crystal system = tetragonal

a b c (Å): 3.718 3.718 4.423
angles (deg): 114.85 114.85 90.00
Element x y z (fractional)
1 Ni 0.750 0.250 0.500
2 Au 0.000 0.000 0.000
3 Ni 0.250 0.750 0.500
4 Fe 0.500 0.500 0.000

=====

# 6
The following is a DFT calculation (meta-GGA SCAN) of a PBEsol-optimized structure of FeNi2Au.

Values from the calculation:
E = -29.971 eV per atom
E_form = -62 meV per atom
Crystal system = orthorhombic

a b c (Å): 2.685 3.349 5.477
angles (deg): 90.00 90.00 90.00
Element x y z (fractional)
1 Ni 0.000 0.000 0.722
2 Ni 0.000 0.000 0.278
3 Au 0.500 0.500 0.000
4 Fe 0.500 0.500 0.500

=====

# 7
The following is a DFT calculation (meta-GGA SCAN) of a PBEsol-optimized structure of FeAuO2.

Values from the calculation:
E = -25.907 eV per atom
ΔE_f (raw) = -0.970 eV per atom
Crystal system = trigonal

a b c (Å): 2.825 2.825 6.486
angles (deg): 77.42 77.42 60.00
Element x y z (fractional)
1 Fe 0.000 0.000 0.000
2 Au 0.500 0.500 0.500
3 O 0.386 0.386 0.842
4 O 0.614 0.614 0.158

=====

# 8
The following is a DFT calculation (meta-GGA SCAN) of a PBEsol-optimized structure of FeOs2AuO.

Values from the calculation:
E = -45.235 eV per atom
ΔE_f (raw) = 2.220 eV per atom
Crystal system = tetragonal

a b c (Å): 4.315 4.315 4.706
angles (deg): 90.00 90.00 90.00
Element x y z (fractional)
1 Au 0.000 0.000 0.500
2 Os 0.000 0.500 0.000
3 Os 0.500 0.000 0.000
4 Fe 0.000 0.000 0.000
5 O 0.500 0.500 0.500

=====

Density of states at the Fermi level values, unit states/eV/atom, following the record order: 0.91; 1.11; 0.67; 0.79; 0.51; 0.46; 0.92; 0.84.